No. 1
Sm2Al3InPt4 | PBE-GGA | optimized geometry

Properties
The mass density comes out at 10713 kg/m³. Its formation energy is -1.02 eV/atom. The value obtained for the total magnetic moment is 0.00 μB per cell. As for the energy: -5.7721 eV per atom.

Structure (CIF):
```
data_Sm2Al3InPt4
_cell_length_a 4.297
_cell_length_b 4.297
_cell_length_c 10.717
_cell_angle_alpha 90.00
_cell_angle_beta 90.00
_cell_angle_gamma 90.00
_symmetry_space_group_name_H-M 'P 1'
_symmetry_Int_Tables_number 1
_symmetry_space_group_name_Hall 'P 1'
loop_
_atom_site_label
_atom_site_fract_x
_atom_site_fract_y
_atom_site_fract_z
In1 0.500 0.500 0.500
Pt1 0.000 0.500 0.351
Pt2 0.000 0.000 0.000
Pt3 0.500 0.000 0.649
Pt4 0.500 0.500 0.000
Al1 0.000 0.500 0.122
Al2 0.500 0.000 0.878
Al3 0.000 0.000 0.500
Sm1 0.500 0.000 0.243
Sm2 0.000 0.500 0.757
```

No. 2
B2Pd8Pb | PBE-GGA | optimized geometry

Properties
The mass density comes out at 11114 kg/m³. Its formation energy is -0.16 eV/atom. The value obtained for the total magnetic moment is 0.00 μB per cell. As for the energy: -5.4872 eV per atom.

Structure (CIF):
```
data_B2Pd8Pb
_cell_length_a 4.361
_cell_length_b 6.384
_cell_length_c 6.384
_cell_angle_alpha 111.55
_cell_angle_beta 96.96
_cell_angle_gamma 96.96
_symmetry_space_group_name_H-M 'P 1'
_symmetry_Int_Tables_number 1
_symmetry_space_group_name_Hall 'P 1'
loop_
_atom_site_label
_atom_site_fract_x
_atom_site_fract_y
_atom_site_fract_z
Pd1 0.713 0.395 0.395
Pd2 0.913 0.665 0.937
Pd3 0.913 0.937 0.665
Pd4 0.087 0.335 0.063
Pd5 0.287 0.605 0.605
Pd6 0.087 0.063 0.335
Pd7 0.500 0.261 0.739
Pd8 0.500 0.739 0.261
Pb1 0.500 0.000 0.000
B1 0.000 0.677 0.323
B2 0.000 0.323 0.677
```

No. 3
TbPrEr2 | PBE-GGA | optimized geometry

Properties
The energy above the most stable polymorph in this dataset comes out at 13 meV/atom. The mass density comes out at 8175 kg/m³. Its formation energy is 0.02 eV/atom. The value obtained for the total magnetic moment is 0.00 μB per cell. As for the energy: -4.6096 eV per atom.

Structure (CIF):
```
data_TbPrEr2
_cell_length_a 5.023
_cell_length_b 5.065
_cell_length_c 5.065
_cell_angle_alpha 90.00
_cell_angle_beta 90.00
_cell_angle_gamma 90.00
_symmetry_space_group_name_H-M 'P 1'
_symmetry_Int_Tables_number 1
_symmetry_space_group_name_Hall 'P 1'
loop_
_atom_site_label
_atom_site_fract_x
_atom_site_fract_y
_atom_site_fract_z
Er1 0.000 0.000 0.500
Er2 0.000 0.500 0.000
Tb1 0.500 0.500 0.500
Pr1 0.500 0.000 0.000
```

No. 4
Y2TiHN | PBE-GGA | optimized geometry

Properties
The mass density comes out at 4922 kg/m³. The value obtained for the total magnetic moment is 1.77 μB per cell. As for the energy: -6.1894 eV per atom.

Structure (CIF):
```
data_Y2TiHN
_cell_length_a 4.757
_cell_length_b 3.589
_cell_length_c 4.757
_cell_angle_alpha 90.00
_cell_angle_beta 90.00
_cell_angle_gamma 90.00
_symmetry_space_group_name_H-M 'P 1'
_symmetry_Int_Tables_number 1
_symmetry_space_group_name_Hall 'P 1'
loop_
_atom_site_label
_atom_site_fract_x
_atom_site_fract_y
_atom_site_fract_z
N1 0.500 0.500 0.500
H1 0.000 0.000 0.000
Y1 0.500 0.000 0.000
Y2 0.000 0.000 0.500
Ti1 0.000 0.500 0.000
```

No. 5
AcSm12Er6 | PBE-GGA | optimized geometry

Properties
The mass density comes out at 7669 kg/m³. Its formation energy is 0.20 eV/atom. The value obtained for the total magnetic moment is 0.00 μB per cell. As for the energy: -4.4395 eV per atom.

Structure (CIF):
```
data_AcSm12Er6
_cell_length_a 8.819
_cell_length_b 8.819
_cell_length_c 8.819
_cell_angle_alpha 99.05
_cell_angle_beta 99.05
_cell_angle_gamma 99.05
_symmetry_space_group_name_H-M 'P 1'
_symmetry_Int_Tables_number 1
_symmetry_space_group_name_Hall 'P 1'
loop_
_atom_site_label
_atom_site_fract_x
_atom_site_fract_y
_atom_site_fract_z
Sm1 0.355 0.355 0.080
Sm2 0.241 0.500 0.759
Sm3 0.500 0.759 0.241
Sm4 0.500 0.241 0.759
Sm5 0.645 0.920 0.645
Sm6 0.355 0.080 0.355
Sm7 0.241 0.759 0.500
Sm8 0.080 0.355 0.355
Sm9 0.920 0.645 0.645
Sm10 0.645 0.645 0.920
Sm11 0.759 0.241 0.500
Sm12 0.759 0.500 0.241
Er1 0.896 0.896 0.344
Er2 0.104 0.104 0.656
Er3 0.656 0.104 0.104
Er4 0.344 0.896 0.896
Er5 0.896 0.344 0.896
Er6 0.104 0.656 0.104
Ac1 0.000 0.000 0.000
```

No. 6
Pm2Ni3Pt | PBE-GGA | optimized geometry

Properties
The mass density comes out at 9460 kg/m³. Its formation energy is -0.54 eV/atom. The value obtained for the total magnetic moment is 1.49 μB per cell. As for the energy: -6.0199 eV per atom.

Structure (CIF):
```
data_Pm2Ni3Pt
_cell_length_a 5.692
_cell_length_b 5.692
_cell_length_c 8.177
_cell_angle_alpha 109.31
_cell_angle_beta 109.31
_cell_angle_gamma 92.85
_symmetry_space_group_name_H-M 'P 1'
_symmetry_Int_Tables_number 1
_symmetry_space_group_name_Hall 'P 1'
loop_
_atom_site_label
_atom_site_fract_x
_atom_site_fract_y
_atom_site_fract_z
Ni1 0.678 0.162 0.839
Ni2 0.162 0.678 0.839
Ni3 0.161 0.161 0.322
Ni4 0.322 0.838 0.161
Ni5 0.839 0.839 0.678
Ni6 0.838 0.322 0.161
Pm1 0.249 0.249 0.000
Pm2 0.250 0.750 0.500
Pm3 0.751 0.751 0.000
Pm4 0.750 0.250 0.500
Pt1 0.667 0.667 0.333
Pt2 0.333 0.333 0.667
```

No. 7
Pu2BeGe | PBE-GGA | optimized geometry

Properties
The energy above the most stable polymorph in this dataset comes out at 50 meV/atom. The mass density comes out at 11342 kg/m³. Its formation energy is -0.01 eV/atom. The value obtained for the total magnetic moment is 11.54 μB per cell. As for the energy: -9.2598 eV per atom.

Structure (CIF):
```
data_Pu2BeGe
_cell_length_a 4.904
_cell_length_b 4.904
_cell_length_c 4.904
_cell_angle_alpha 60.00
_cell_angle_beta 60.00
_cell_angle_gamma 60.00
_symmetry_space_group_name_H-M 'P 1'
_symmetry_Int_Tables_number 1
_symmetry_space_group_name_Hall 'P 1'
loop_
_atom_site_label
_atom_site_fract_x
_atom_site_fract_y
_atom_site_fract_z
Ge1 0.000 0.000 0.000
Pu1 0.750 0.750 0.750
Pu2 0.250 0.250 0.250
Be1 0.500 0.500 0.500
```

No. 8
Cd2CuNi | PBE-GGA | optimized geometry

Properties
The energy above the most stable polymorph in this dataset comes out at 15 meV/atom. The mass density comes out at 8934 kg/m³. Its formation energy is 0.08 eV/atom. The value obtained for the total magnetic moment is 0.00 μB per cell. As for the energy: -2.8496 eV per atom.

Structure (CIF):
```
data_Cd2CuNi
_cell_length_a 4.246
_cell_length_b 2.933
_cell_length_c 5.387
_cell_angle_alpha 74.07
_cell_angle_beta 90.00
_cell_angle_gamma 90.00
_symmetry_space_group_name_H-M 'P 1'
_symmetry_Int_Tables_number 1
_symmetry_space_group_name_Hall 'P 1'
loop_
_atom_site_label
_atom_site_fract_x
_atom_site_fract_y
_atom_site_fract_z
Cd1 0.500 0.288 0.298
Cd2 0.000 0.964 0.948
Ni1 0.500 0.561 0.756
Cu1 0.000 0.687 0.498
```

No. 9
BaAc4Dy | PBE-GGA | optimized geometry

Properties
The mass density comes out at 7078 kg/m³. Its formation energy is 0.30 eV/atom. The value obtained for the total magnetic moment is 0.00 μB per cell. As for the energy: -3.5236 eV per atom.

Structure (CIF):
```
data_BaAc4Dy
_cell_length_a 7.373
_cell_length_b 7.373
_cell_length_c 7.373
_cell_angle_alpha 60.00
_cell_angle_beta 60.00
_cell_angle_gamma 60.00
_symmetry_space_group_name_H-M 'P 1'
_symmetry_Int_Tables_number 1
_symmetry_space_group_name_Hall 'P 1'
loop_
_atom_site_label
_atom_site_fract_x
_atom_site_fract_y
_atom_site_fract_z
Ac1 0.627 0.627 0.627
Ac2 0.627 0.627 0.118
Ac3 0.627 0.118 0.627
Ac4 0.118 0.627 0.627
Dy1 0.000 0.000 0.000
Ba1 0.250 0.250 0.250
```

No. 10
Ho5ErPt6 | PBE-GGA | optimized geometry

Properties
The mass density comes out at 14251 kg/m³. Its formation energy is -1.25 eV/atom. The value obtained for the total magnetic moment is 0.00 μB per cell. As for the energy: -6.5557 eV per atom.

Structure (CIF):
```
data_Ho5ErPt6
_cell_length_a 4.937
_cell_length_b 6.899
_cell_length_c 8.523
_cell_angle_alpha 66.13
_cell_angle_beta 73.27
_cell_angle_gamma 90.00
_symmetry_space_group_name_H-M 'P 1'
_symmetry_Int_Tables_number 1
_symmetry_space_group_name_Hall 'P 1'
loop_
_atom_site_label
_atom_site_fract_x
_atom_site_fract_y
_atom_site_fract_z
Ho1 0.333 0.333 0.333
Ho2 0.667 0.667 0.667
Ho3 0.334 0.833 0.333
Ho4 0.000 0.500 0.000
Ho5 0.666 0.167 0.667
Pt1 0.500 0.249 0.000
Pt2 0.500 0.751 0.000
Pt3 0.166 0.415 0.668
Pt4 0.166 0.917 0.668
Pt5 0.834 0.083 0.332
Pt6 0.834 0.585 0.332
Er1 0.000 0.000 0.000
```

No. 11
NaNd2PbSe4 | PBE-GGA | optimized geometry

Properties
The mass density comes out at 6154 kg/m³. The value obtained for the total magnetic moment is 0.00 μB per cell. The formation energy without anion corrections comes out at -1.40 eV per atom. As for the energy: -4.9612 eV per atom.

Structure (CIF):
```
data_NaNd2PbSe4
_cell_length_a 8.597
_cell_length_b 8.597
_cell_length_c 8.653
_cell_angle_alpha 120.22
_cell_angle_beta 120.22
_cell_angle_gamma 89.72
_symmetry_space_group_name_H-M 'P 1'
_symmetry_Int_Tables_number 1
_symmetry_space_group_name_Hall 'P 1'
loop_
_atom_site_label
_atom_site_fract_x
_atom_site_fract_y
_atom_site_fract_z
Nd1 0.500 0.000 0.000
Nd2 0.500 0.000 0.500
Nd3 0.000 0.000 0.500
Nd4 0.500 0.500 0.000
Se1 0.254 0.246 0.993
Se2 0.744 0.242 0.493
Se3 0.258 0.756 0.007
Se4 0.254 0.246 0.507
Se5 0.256 0.758 0.507
Se6 0.746 0.754 0.493
Se7 0.746 0.754 0.007
Se8 0.742 0.244 0.993
Na1 0.000 0.000 0.000
Na2 0.500 0.500 0.500
Pb1 0.000 0.500 0.000
Pb2 0.000 0.500 0.500
```

No. 12
BeNb2Ru2 | PBE-GGA | optimized geometry

Properties
The mass density comes out at 8088 kg/m³. Its formation energy is 0.12 eV/atom. The value obtained for the total magnetic moment is 0.00 μB per cell. As for the energy: -8.3601 eV per atom.

Structure (CIF):
```
data_BeNb2Ru2
_cell_length_a 7.266
_cell_length_b 7.266
_cell_length_c 3.087
_cell_angle_alpha 90.00
_cell_angle_beta 90.00
_cell_angle_gamma 90.00
_symmetry_space_group_name_H-M 'P 1'
_symmetry_Int_Tables_number 1
_symmetry_space_group_name_Hall 'P 1'
loop_
_atom_site_label
_atom_site_fract_x
_atom_site_fract_y
_atom_site_fract_z
Nb1 0.836 0.336 0.500
Nb2 0.664 0.836 0.500
Nb3 0.336 0.164 0.500
Nb4 0.164 0.664 0.500
Be1 0.500 0.500 0.000
Be2 0.000 0.000 0.000
Ru1 0.860 0.640 0.000
Ru2 0.140 0.360 0.000
Ru3 0.360 0.860 0.000
Ru4 0.640 0.140 0.000
```